# 1
Computed, not measured: a relaxed structure of Ce3DyY2Te6 at the PBE level of DFT.

The density comes out at 6.89 Mg/m³. The calculation puts the total energy at -5.862 eV per atom. For the formation energy from raw total energies, the calculation gives -1.347 eV/atom.

It has space group C2/m (No. 12), with a = 7.5951 Å, b = 13.1807 Å, c = 7.7751 Å, α = 90.00°, β = 109.05° and γ = 90.00°. The inequivalent atoms are Ce at (0.0000, 0.0000, 0.0000), Ce at (0.0000, 0.3329, 0.0000), Dy at (0.0000, 0.5000, 0.5000), Y at (0.0000, 0.1665, 0.5000), Te at (0.2460, 0.3336, 0.7389) and Te at (0.2472, 0.0000, 0.7395).

# 2
Computed, not measured: a relaxed structure of LaDy14Th at the PBE level of DFT.

The density comes out at 8.62 Mg/m³. The calculation puts the total energy at -4.780 eV per atom. The calculated formation energy comes out at 18 meV per atom.

It has space group Amm2 (No. 38), with a = 11.5262 Å, b = 7.1707 Å, c = 12.3391 Å, α = 90.00°, β = 90.00° and γ = 90.00°. The inequivalent atoms are La at (0.0000, 0.0000, 0.0000), Dy at (0.0000, 0.2498, 0.2496), Dy at (0.2494, 0.0000, 0.6642), Dy at (0.2529, 0.2477, 0.4171), Dy at (0.2540, 0.0000, 0.1677), Dy at (0.5000, 0.0000, 0.3337), Dy at (0.5000, 0.0000, 0.8327), Dy at (0.5000, 0.2500, 0.0841) and Th at (0.0000, 0.0000, 0.4973).

# 3
Computed, not measured: a relaxed structure of AcTlH at the PBE level of DFT.

The density comes out at 8.87 Mg/m³. The calculation puts the total energy at -3.513 eV per atom. For the energy above the most stable polymorph in this dataset, the calculation gives 0.34 eV per formula unit.

It has space group C2/m (No. 12), with a = 6.1915 Å, b = 6.2014 Å, c = 8.9694 Å, α = 90.00°, β = 109.99° and γ = 90.00°. The inequivalent atoms are Ac at (0.1697, 0.0000, 0.3389), Tl at (0.2500, 0.2500, 0.0000) and H at (0.0000, 0.2500, 0.5000).

# 4
Computed, not measured: a relaxed structure of Sm2GaPd5 at the PBE level of DFT.

The density comes out at 9.64 Mg/m³. The calculation puts the total energy at -5.552 eV per atom. The calculated formation energy comes out at -748 meV per atom.

It has space group I4mm (No. 107), with a = 6.2069 Å, b = 6.2069 Å, c = 8.0735 Å, α = 90.00°, β = 90.00° and γ = 90.00°. The inequivalent atoms are Sm at (0.0000, 0.5000, 0.0000), Ga at (0.0000, 0.0000, 0.3285), Pd at (0.0000, 0.0000, 0.0028) and Pd at (0.2252, 0.2252, 0.7445).

# 5
Computed, not measured: a relaxed structure of Sm2MgNi3Ge4 at the PBE level of DFT.

The density comes out at 7.45 Mg/m³. The calculation puts the total energy at -5.328 eV per atom. The calculated formation energy comes out at -643 meV per atom.

It has space group P-4m2 (No. 115), with a = 4.1474 Å, b = 4.1474 Å, c = 10.2554 Å, α = 90.00°, β = 90.00° and γ = 90.00°. The inequivalent atoms are Sm at (0.0000, 0.5000, 0.2363), Mg at (0.0000, 0.0000, 0.5000), Ni at (0.0000, 0.5000, 0.8835), Ni at (0.5000, 0.5000, 0.5000), Ge at (0.0000, 0.0000, 0.0000), Ge at (0.0000, 0.5000, 0.6532) and Ge at (0.5000, 0.5000, 0.0000).

# 6
Computed, not measured: a relaxed structure of LiDyPd4 at the PBE level of DFT.

The density comes out at 9.21 Mg/m³. The calculation puts the total energy at -5.161 eV per atom. The calculated formation energy comes out at -613 meV per atom. For the energy above the most stable polymorph in this dataset, the calculation gives 0.00 eV per formula unit.

It has space group F-43m (No. 216), with a = 7.5427 Å, b = 7.5427 Å, c = 7.5427 Å, α = 90.00°, β = 90.00° and γ = 90.00°. The inequivalent atoms are Li at (0.0000, 0.0000, 0.0000), Dy at (0.2500, 0.2500, 0.2500) and Pd at (0.1252, 0.1252, 0.6252).